No. 1
YMgGa2Pt4: relaxed, PBE-GGA.

Lattice parameters (Å, degrees): 4.5622 4.5622 6.5093 90.00 90.00 90.00
Space group P4/mmm (No. 123)
Unique sites:
1 Y 0.0000 0.0000 0.0000
2 Mg 0.5000 0.5000 0.5000
3 Ga 0.0000 0.0000 0.5000
4 Ga 0.5000 0.5000 0.0000
5 Pt 0.0000 0.5000 0.2717

Results
Total magnetic moment   0.0 μB/f.u.
Calculated volume   16.94 Å³/atom
Crystal system   tetragonal
E   -5.5649 eV/atom
Theoretical density   12.7 Mg/m³


No. 2
Mg4InGaNi2: relaxed, PBE-GGA.

Lattice parameters (Å, degrees): 7.6990 2.9411 18.5730 90.00 90.00 90.00
Space group Amm2 (No. 38)
Unique sites:
1 Mg 0.1868 0.0000 0.0000
2 Mg 0.1881 0.0000 0.6569
3 In 0.5000 0.0000 0.8897
4 Ga 0.5000 0.0000 0.7470
5 Ni 0.5000 0.0000 0.0249
6 Ni 0.5000 0.0000 0.6233

Results
Total magnetic moment   0.0 μB/f.u.
Calculated volume   26.28 Å³/atom
Crystal system   orthorhombic
E   -2.5470 eV/atom
Theoretical density   3.2 Mg/m³


No. 3
Ag2Sn: relaxed, PBE-GGA.

Lattice parameters (Å, degrees): 6.1329 4.3162 9.1463 90.00 90.00 90.00
Space group Pnma (No. 62)
Unique sites:
1 Ag 0.1112 0.2500 0.2487
2 Ag 0.1305 0.2500 0.5776
3 Sn 0.1433 0.2500 0.9048

Results
Calculated volume   20.18 Å³/atom
Crystal system   orthorhombic
E   -3.2015 eV/atom
Theoretical density   9.2 Mg/m³


No. 4
CdCuNiGe: relaxed, PBE-GGA.

Lattice parameters (Å, degrees): 6.2643 6.2643 6.2643 90.00 90.00 90.00
Space group F-43m (No. 216)
Unique sites:
1 Cd 0.0000 0.0000 0.0000
2 Cu 0.0000 0.0000 0.5000
3 Ni 0.2500 0.2500 0.7500
4 Ge 0.2500 0.2500 0.2500

Results
Offset from the most stable computed form   0.1708 eV per atom
Total magnetic moment   0.0 μB/f.u.
Calculated volume   15.36 Å³/atom
Crystal system   cubic
E   -3.4688 eV/atom
Theoretical density   8.3 Mg/m³


No. 5
TcIrO4: relaxed, PBE-GGA.

Lattice parameters (Å, degrees): 4.5482 3.1271 4.5620 90.00 90.55 90.00
Space group P2/m (No. 10)
Unique sites:
1 Tc 0.0000 0.0000 0.0000
2 Ir 0.5000 0.5000 0.5000
3 O 0.1952 0.5000 0.8060
4 O 0.3035 0.0000 0.3046

Results
Total magnetic moment   1.0 μB/f.u.
Calculated volume   10.81 Å³/atom
Crystal system   monoclinic
E   -7.5640 eV/atom
Theoretical density   9.1 Mg/m³


No. 6
ThPPt: relaxed, PBE-GGA.

Lattice parameters (Å, degrees): 7.8276 7.8276 3.8420 90.00 90.00 120.00
Space group P-62m (No. 189)
Unique sites:
1 Th 0.0000 0.2906 0.0000
2 P 0.0000 0.5781 0.5000
3 Pt 0.0000 0.0000 0.5000
4 Pt 0.3333 0.6667 0.0000

Results
Total magnetic moment   0.0 μB/f.u.
Calculated volume   22.65 Å³/atom
Crystal system   hexagonal
E   -6.9529 eV/atom
Theoretical density   11.2 Mg/m³


No. 7
Lu2Nb4Au3N3: relaxed, PBE-GGA.

Lattice parameters (Å, degrees): 9.7889 5.6635 14.0570 90.00 103.35 90.00
Space group C2/c (No. 15)
Unique sites:
1 Lu 0.0423 0.0796 0.3868
2 Nb 0.1078 0.4162 0.5753
3 Nb 0.2260 0.4166 0.9246
4 Au 0.0000 0.4925 0.7500
5 Au 0.2119 0.1293 0.7502
6 N 0.0784 0.2343 0.9999
7 N 0.2500 0.2500 0.5000

Results
Total magnetic moment   0.0 μB/f.u.
Calculated volume   15.80 Å³/atom
Crystal system   monoclinic
E   -7.8787 eV/atom
Theoretical density   11.9 Mg/m³


No. 8
Dy2Sc2CI2Br2Cl: relaxed, PBE-GGA.

Lattice parameters (Å, degrees): 19.4948 3.7659 7.8246 90.00 101.12 90.00
Space group C2/m (No. 12)
Unique sites:
1 Dy 0.1215 0.0000 0.0530
2 Sc 0.0005 0.5000 0.1949
3 C 0.0000 0.0000 0.0000
4 I 0.1553 0.5000 0.3537
5 Br 0.1463 0.5000 0.8031
6 Cl 0.0000 0.0000 0.5000

Results
Offset from the most stable computed form   0.0802 eV per atom
Total magnetic moment   0.0 μB/f.u.
Calculated volume   28.18 Å³/atom
Crystal system   monoclinic
E   -5.1909 eV/atom
Theoretical density   5.2 Mg/m³


Question: Among the records above, which one has the lowest calculated volume?
Answer: TcIrO4


Question: theoretical density of number 4 (CdCuNiGe)?
Answer: 8.3 Mg/m³


Question: Look up the E of the fifth one.
Answer: -7.5640 eV/atom